DFT (PBE) results for crystalline Ac7Sm4Dy at its relaxed geometry.

Lattice parameters (Å, degrees): 7.6587 6.6546 11.4319 73.47 60.67 90.37
Fractional coordinates of all 12 atoms:
Dy: 0.0000 0.0000 0.0000
Sm: 0.4993 0.3358 0.6669
Sm: 0.7505 0.8328 0.6644
Sm: 0.2495 0.1672 0.3356
Ac: 0.5000 0.0000 0.0000
Ac: 0.0014 0.3295 0.6663
Ac: 0.9986 0.6705 0.3337
Ac: 0.2499 0.4950 0.9984
Ac: 0.2540 0.8360 0.6634
Ac: 0.7460 0.1640 0.3366
Sm: 0.5007 0.6642 0.3331
Ac: 0.7501 0.5050 0.0016

Calculated volume in Å³/atom: 39.96
Crystal system: triclinic
Symmetry: P-1
Calculated total energy in eV per atom: -4.30
Magnetization in μB per cell: 0.0

DFT (PBE) results for crystalline ZrAlNi at its relaxed geometry.

Lattice parameters (Å, degrees): 4.4716 4.7863 11.0834 90.00 90.00 90.00
Fractional coordinates of all 12 atoms:
Al: 0.5000 0.7500 0.5842
Al: 0.5000 0.7500 0.9158
Zr: 0.0000 0.2500 0.5977
Zr: 0.0000 0.7500 0.0977
Ni: 0.0000 0.2500 0.1475
Al: 0.5000 0.2500 0.0842
Zr: 0.0000 0.7500 0.4023
Ni: 0.0000 0.2500 0.3525
Ni: 0.0000 0.7500 0.8525
Zr: 0.0000 0.2500 0.9023
Al: 0.5000 0.2500 0.4158
Ni: 0.0000 0.7500 0.6475

Calculated volume in Å³/atom: 19.77
Crystal system: orthorhombic
Symmetry: Cmmm
Calculated total energy in eV per atom: -6.05
Magnetization in μB per cell: 0.0

DFT (PBE) results for crystalline Na3CaW at its relaxed geometry.

Lattice parameters (Å, degrees): 5.2565 5.2565 5.2565 90.00 90.00 90.00
Fractional coordinates of all 5 atoms:
Ca: 0.0000 0.0000 0.0000
Na: 0.0000 0.5000 0.0000
Na: 0.5000 0.0000 0.0000
W: 0.5000 0.5000 0.5000
Na: 0.0000 0.0000 0.5000

Calculated volume in Å³/atom: 29.05
Crystal system: cubic
Symmetry: Pm-3m
Distance to the lowest polymorph of the same formula in meV/atom: 762.6
Calculated total energy in eV per atom: -1.64
Magnetization in μB per cell: 0.0

DFT (PBE) results for crystalline MgZnIn2F6 at its relaxed geometry.

Lattice parameters (Å, degrees): 5.8813 5.8813 5.8834 119.98 119.98 90.00
Fractional coordinates of all 10 atoms:
F: 0.7469 0.7474 0.9995
Mg: 0.4999 0.5004 0.9998
F: 0.2530 0.2535 0.5060
In: 0.2501 0.7506 0.5002
F: 0.2527 0.2532 0.9997
Zn: 0.9999 0.0004 0.9998
F: 0.7468 0.7473 0.4935
In: 0.7501 0.2506 0.5002
F: 0.7469 0.2532 0.9996
F: 0.2527 0.7474 0.9996

Calculated volume in Å³/atom: 14.40
Crystal system: cubic
Symmetry: Fm-3m
Calculated total energy in eV per atom: -4.34
Magnetization in μB per cell: 0.0
Energy relative to the elements, uncorrected in meV per atom: -2387

DFT (PBE) results for crystalline LaTaIN2 at its relaxed geometry.

Lattice parameters (Å, degrees): 4.2471 4.2471 5.4623 90.00 90.00 90.00
Fractional coordinates of all 5 atoms:
La: 0.5000 0.5000 0.5000
N: 0.5000 0.0000 0.0000
N: 0.0000 0.5000 0.0000
Ta: 0.0000 0.0000 0.0000
I: 0.0000 0.0000 0.5000

Calculated volume in Å³/atom: 19.71
Crystal system: tetragonal
Symmetry: P4/mmm
Distance to the lowest polymorph of the same formula in meV/atom: 0.0
Calculated total energy in eV per atom: -7.15
Magnetization in μB per cell: 0.0
Energy relative to the elements, uncorrected in meV per atom: -151

DFT (PBE) results for crystalline Sm3Cu3Ag at its relaxed geometry.

Lattice parameters (Å, degrees): 4.1872 5.7477 14.1689 83.96 81.50 68.64
Fractional coordinates of all 14 atoms:
Cu: 0.9740 0.8236 0.2283
Cu: 0.9018 0.1198 0.0766
Cu: 0.0260 0.1764 0.7717
Ag: 0.2395 0.9114 0.6096
Sm: 0.2622 0.2484 0.2272
Sm: 0.4675 0.6778 0.3872
Cu: 0.0982 0.8802 0.9234
Sm: 0.6092 0.7058 0.0758
Cu: 0.1199 0.3020 0.4582
Sm: 0.7378 0.7516 0.7728
Sm: 0.5325 0.3222 0.6128
Cu: 0.8801 0.6980 0.5418
Ag: 0.7605 0.0886 0.3904
Sm: 0.3908 0.2942 0.9242

Calculated volume in Å³/atom: 22.40
Crystal system: monoclinic
Symmetry: C2/m
Calculated total energy in eV per atom: -4.38
Magnetization in μB per cell: 0.0

DFT (PBE) results for crystalline BeSbTeN2 at its relaxed geometry.

Lattice parameters (Å, degrees): 4.0570 4.0570 5.0676 90.00 90.00 90.00
Fractional coordinates of all 5 atoms:
N: 0.5000 0.0000 0.0000
Sb: 0.5000 0.5000 0.5000
Te: 0.0000 0.0000 0.5000
N: 0.0000 0.5000 0.0000
Be: 0.0000 0.0000 0.0000

Calculated volume in Å³/atom: 16.68
Crystal system: tetragonal
Symmetry: P4/mmm
Distance to the lowest polymorph of the same formula in meV/atom: 42.5
Calculated total energy in eV per atom: -4.10
Magnetization in μB per cell: 3.0
Energy relative to the elements, uncorrected in meV per atom: 1432

DFT (PBE) results for crystalline PaBeAlNi at its relaxed geometry.

Lattice parameters (Å, degrees): 4.4777 4.4777 4.4777 60.00 60.00 60.00
Fractional coordinates of all 4 atoms:
Be: 0.0000 0.0000 0.0000
Ni: 0.5000 0.5000 0.5000
Al: 0.7500 0.7500 0.7500
Pa: 0.2500 0.2500 0.2500

Calculated volume in Å³/atom: 15.87
Crystal system: cubic
Symmetry: F-43m
Calculated total energy in eV per atom: -5.88
Magnetization in μB per cell: 0.0

DFT (PBE) results for crystalline Ga2S2Cl at its relaxed geometry.

Lattice parameters (Å, degrees): 7.6292 7.6292 7.3399 121.31 121.31 90.00
Fractional coordinates of all 10 atoms:
Cl: 0.0695 0.0695 0.1390
S: 0.6440 0.9090 0.2879
Ga: 0.8662 0.1616 0.3233
S: 0.6440 0.3789 0.2879
S: 0.6289 0.3940 0.7879
S: 0.1590 0.3940 0.7879
Ga: 0.4116 0.2070 0.8233
Ga: 0.4570 0.1616 0.3233
Ga: 0.4116 0.6162 0.8233
Cl: 0.3195 0.8195 0.6390

Calculated volume in Å³/atom: 28.97
Crystal system: tetragonal
Symmetry: I4_1md
Calculated total energy in eV per atom: -3.78
Magnetization in μB per cell: 0.0
Energy relative to the elements, uncorrected in meV per atom: -545

DFT (PBE) results for crystalline VMo2Cl at its relaxed geometry.

Lattice parameters (Å, degrees): 7.4461 7.4461 5.7660 49.78 49.78 90.00
Fractional coordinates of all 8 atoms:
Mo: 0.8750 0.7905 0.7500
V: 0.7500 0.2500 0.5000
V: 0.0000 0.0000 0.0000
Cl: 0.5000 0.5000 0.0000
Mo: 0.3750 0.4595 0.7500
Mo: 0.2095 0.6250 0.2500
Cl: 0.2500 0.7500 0.5000
Mo: 0.5405 0.1250 0.2500

Calculated volume in Å³/atom: 16.29
Crystal system: tetragonal
Symmetry: I-42d
Distance to the lowest polymorph of the same formula in meV/atom: 79.9
Calculated total energy in eV per atom: -7.24
Magnetization in μB per cell: 2.5
Energy relative to the elements, uncorrected in meV per atom: 914

- calculated volume of number 3 (Na3CaW)?
  29.05 Å³/atom

- Which of these has the highest calculated volume?
  Ac7Sm4Dy